# CsTl2HgPb (PBE, optimized geometry)
data_CsTl2HgPb
_chemical_formula_sum 'Cs2 Tl4 Hg2 Pb2'
_space_group_name_H-M_alt 'P 1'
_space_group_IT_number 1
_cell_length_a 5.4190
_cell_length_b 8.6415
_cell_length_c 8.1024
_cell_angle_alpha 100.81
_cell_angle_beta 90.00
_cell_angle_gamma 90.00
loop_
_space_group_symop_operation_xyz
'x,y,z'
loop_
_atom_site_label
_atom_site_type_symbol
_atom_site_fract_x
_atom_site_fract_y
_atom_site_fract_z
Cs1 Cs 0.7500 0.3672 0.1172
Cs2 Cs 0.2500 0.6328 0.8828
Tl1 Tl 0.2500 0.0658 0.1655
Tl2 Tl 0.2500 0.8343 0.4628
Tl3 Tl 0.7500 0.1657 0.5372
Tl4 Tl 0.7500 0.9342 0.8345
Hg1 Hg 0.7500 0.6278 0.5390
Hg2 Hg 0.2500 0.3722 0.4610
Pb1 Pb 0.7500 0.8646 0.2265
Pb2 Pb 0.2500 0.1354 0.7735
# SG	P2_1/m, No. 11
# spin magnetization	0.0	μB per cell
# uncorrected energy	-2.02	eV per atom